(1)
# Sr2TlAu GGA-PBEsol optimized geometry
# - ΔH_f (0 K) (meV per atom) = -448
# - uncorrected energy (eV per cell) = -24.06
data_Sr2TlAu
_chemical_formula_sum 'Sr4 Tl2 Au2'
_cell_length_a 12.863
_cell_length_b 3.825
_cell_length_c 5.307
_cell_angle_alpha 90.00
_cell_angle_beta 113.86
_cell_angle_gamma 90.00
_symmetry_space_group_name_H-M 'C 1 m 1'
_symmetry_Int_Tables_number 8
loop_
_symmetry_equiv_pos_as_xyz
'x,y,z'
'x,-y,z'
'x+1/2,y+1/2,z'
'x+1/2,-y+1/2,z'
loop_
_atom_site_label
_atom_site_type_symbol
_atom_site_fract_x
_atom_site_fract_y
_atom_site_fract_z
Sr1 Sr 0.000 0.000 0.000
Sr2 Sr 0.203 0.000 0.700
Tl1 Tl 0.287 0.500 0.282
Au1 Au 0.481 0.000 0.482



(2)
# Ba2TlH2 GGA-PBEsol optimized geometry
# - uncorrected energy (eV per cell) = -31.16
data_Ba2TlH2
_chemical_formula_sum 'Ba4 Tl2 H4'
_cell_length_a 4.234
_cell_length_b 4.234
_cell_length_c 14.934
_cell_angle_alpha 90.00
_cell_angle_beta 90.00
_cell_angle_gamma 90.00
_symmetry_space_group_name_H-M 'I 4/m m m'
_symmetry_Int_Tables_number 139
_symmetry_space_group_name_Hall '-I 4 2'
loop_
_atom_site_label
_atom_site_type_symbol
_atom_site_fract_x
_atom_site_fract_y
_atom_site_fract_z
Ba1 Ba 0.000 0.000 0.150
Tl1 Tl 0.000 0.000 0.500
H1 H 0.000 0.500 0.250



(3)
# Zr2TiNi2 GGA-PBEsol optimized geometry
# - ΔH_f (0 K) (meV per atom) = -310
# - uncorrected energy (eV per cell) = -80.74
data_Zr2TiNi2
_chemical_formula_sum 'Zr4 Ti2 Ni4'
_cell_length_a 7.091
_cell_length_b 7.091
_cell_length_c 3.236
_cell_angle_alpha 90.00
_cell_angle_beta 90.00
_cell_angle_gamma 90.00
_symmetry_space_group_name_H-M 'P 4/m b m'
_symmetry_Int_Tables_number 127
_symmetry_space_group_name_Hall '-P 4 2ab'
loop_
_atom_site_label
_atom_site_type_symbol
_atom_site_fract_x
_atom_site_fract_y
_atom_site_fract_z
Zr1 Zr 0.173 0.327 0.000
Ti1 Ti 0.000 0.000 0.500
Ni1 Ni 0.125 0.625 0.500



(4)
# Cd2TcH GGA-PBEsol optimized geometry
# - uncorrected energy (eV per cell) = -49.43
data_Cd2TcH
_chemical_formula_sum 'Cd8 Tc4 H4'
_cell_length_a 6.388
_cell_length_b 6.388
_cell_length_c 6.388
_cell_angle_alpha 90.00
_cell_angle_beta 90.00
_cell_angle_gamma 90.00
_symmetry_space_group_name_H-M 'F m -3 m'
_symmetry_Int_Tables_number 225
_symmetry_space_group_name_Hall '-F 4 2 3'
loop_
_atom_site_label
_atom_site_type_symbol
_atom_site_fract_x
_atom_site_fract_y
_atom_site_fract_z
Cd1 Cd 0.250 0.250 0.250
Tc1 Tc 0.000 0.000 0.000
H1 H 0.000 0.000 0.500



(5)
# Sb5C GGA-PBEsol optimized geometry
# - uncorrected energy (eV per cell) = -58.15
# - formation energy without anion corrections (kcal/mol of atoms) = 12.897
data_Sb5C
_chemical_formula_sum 'Sb10 C2'
_cell_length_a 4.041
_cell_length_b 3.266
_cell_length_c 24.630
_cell_angle_alpha 90.00
_cell_angle_beta 90.00
_cell_angle_gamma 90.00
_symmetry_space_group_name_H-M 'A m m 2'
_symmetry_Int_Tables_number 38
loop_
_symmetry_equiv_pos_as_xyz
'x,y,z'
'-x,-y,z'
'-x,y,z'
'x,-y,z'
'x,y+1/2,z+1/2'
'-x,-y+1/2,z+1/2'
'-x,y+1/2,z+1/2'
'x,-y+1/2,z+1/2'
loop_
_atom_site_label
_atom_site_type_symbol
_atom_site_fract_x
_atom_site_fract_y
_atom_site_fract_z
Sb1 Sb 0.000 0.000 0.000
Sb2 Sb 0.000 0.000 0.313
Sb3 Sb 0.000 0.000 0.679
Sb4 Sb 0.500 0.000 0.597
Sb5 Sb 0.500 0.000 0.917
C1 C 0.500 0.000 0.361



(6)
# Ba3UMnS6 GGA-PBEsol optimized geometry
# - uncorrected energy (eV per cell) = -437.01
# - formation energy without anion corrections (kcal/mol of atoms) = -38.080
data_Ba3UMnS6
_chemical_formula_sum 'Ba18 U6 Mn6 S36'
_cell_length_a 11.9424
_cell_length_b 11.9424
_cell_length_c 13.1418
_cell_angle_alpha 90.00
_cell_angle_beta 90.00
_cell_angle_gamma 120.00
_symmetry_space_group_name_H-M 'R -3 c'
_symmetry_Int_Tables_number 167
_symmetry_space_group_name_Hall '-R 3 2"c'
loop_
_atom_site_label
_atom_site_type_symbol
_atom_site_fract_x
_atom_site_fract_y
_atom_site_fract_z
Ba1 Ba 0.0000 0.3783 0.2500
U1 U 0.0000 0.0000 0.2500
Mn1 Mn 0.0000 0.0000 0.0000
S1 S 0.0250 0.1762 0.3840



(7)
# BeSnTe2 GGA-PBEsol optimized geometry
# - uncorrected energy (eV per cell) = -54.66
# - formation energy without anion corrections (kcal/mol of atoms) = 9.489
data_BeSnTe2
_chemical_formula_sum 'Be4 Sn4 Te8'
_cell_length_a 7.230
_cell_length_b 7.230
_cell_length_c 7.230
_cell_angle_alpha 90.00
_cell_angle_beta 90.00
_cell_angle_gamma 90.00
_symmetry_space_group_name_H-M 'F m -3 m'
_symmetry_Int_Tables_number 225
_symmetry_space_group_name_Hall '-F 4 2 3'
loop_
_atom_site_label
_atom_site_type_symbol
_atom_site_fract_x
_atom_site_fract_y
_atom_site_fract_z
Be1 Be 0.000 0.000 0.000
Sn1 Sn 0.000 0.000 0.500
Te1 Te 0.250 0.250 0.250



(8)
# AlCuW2O8 GGA-PBEsol optimized geometry
# - uncorrected energy (eV per cell) = -205.87
# - formation energy without anion corrections (kcal/mol of atoms) = -47.850
data_AlCuW2O8
_chemical_formula_sum 'Al2 Cu2 W4 O16'
_cell_length_a 4.924
_cell_length_b 5.590
_cell_length_c 10.248
_cell_angle_alpha 90.00
_cell_angle_beta 118.55
_cell_angle_gamma 90.00
_symmetry_space_group_name_H-M 'P 1 2/c 1'
_symmetry_Int_Tables_number 13
loop_
_symmetry_equiv_pos_as_xyz
'x,y,z'
'-x,-y,-z'
'-x,y,-z+1/2'
'x,-y,z+1/2'
loop_
_atom_site_label
_atom_site_type_symbol
_atom_site_fract_x
_atom_site_fract_y
_atom_site_fract_z
Al1 Al 0.000 0.165 0.250
Cu1 Cu 0.500 0.151 0.750
W1 W 0.238 0.325 0.995
O1 O 0.185 0.386 0.617
O2 O 0.211 0.144 0.138
O3 O 0.253 0.097 0.872
O4 O 0.305 0.385 0.388